DFT (GGA-PBE) results for SrCeHo4S8 after structural relaxation.

```
SrCeHo4S8
1.0
-6.428 4.690 1.725
-5.094 2.268 -5.933
-7.580 -3.208 -0.306
S Ho Sr Ce
8 4 1 1
Direct
0.750 0.750 0.267 S
0.792 0.241 0.725 S
0.232 0.750 0.267 S
0.236 0.236 0.293 S
0.750 0.232 0.267 S
0.241 0.792 0.725 S
0.757 0.757 0.728 S
0.241 0.241 0.725 S
0.496 0.002 0.501 Ho
0.625 0.625 0.124 Ho
0.002 0.002 0.501 Ho
0.002 0.496 0.501 Ho
0.374 0.374 0.877 Sr
0.001 0.001 0.998 Ce
```

Results
Symmetry   R3m, No. 160
Total magnetization   1.413 μB per cell
Formation energy from raw total energies   -1966 meV/atom

---

DFT (GGA-PBE) results for Tb4Ce3HoS8 after structural relaxation.

```
Tb4Ce3HoS8
1.0
-1.450 3.455 6.963
-2.288 -6.972 2.983
7.126 0.713 -3.359
Tb S Ce Ho
4 8 3 1
Direct
0.500 0.000 0.500 Tb
0.500 0.000 0.000 Tb
0.000 0.000 0.500 Tb
0.000 0.000 0.000 Tb
0.249 0.754 0.006 S
0.249 0.754 0.497 S
0.757 0.754 0.006 S
0.751 0.246 0.503 S
0.247 0.241 0.494 S
0.753 0.759 0.506 S
0.751 0.246 0.994 S
0.243 0.246 0.994 S
0.500 0.500 0.000 Ce
0.000 0.500 0.500 Ce
0.500 0.500 0.500 Ce
0.000 0.500 0.000 Ho
```

Results
Symmetry   R-3m, No. 166
Total magnetization   1.783 μB per cell
Formation energy from raw total energies   -2025 meV/atom

---

DFT (GGA-PBE) results for TbCeHo2S4 after structural relaxation.

```
TbCeHo2S4
1.0
3.908 0.000 0.000
0.000 6.803 0.125
0.000 -2.369 6.410
S Ho Tb Ce
4 2 1 1
Direct
0.000 0.243 0.740 S
0.500 0.751 0.743 S
0.500 0.249 0.257 S
0.000 0.757 0.260 S
0.000 0.500 0.500 Ho
0.500 0.000 0.500 Ho
0.000 0.000 0.000 Tb
0.500 0.500 0.000 Ce
```

Results
Symmetry   P2/m, No. 10
Total magnetization   0.697 μB per cell
Formation energy from raw total energies   -2007 meV/atom

---

DFT (GGA-PBE) results for Tb2CeHoS6 after structural relaxation.

```
Tb2CeHoS6
1.0
-2.880 -1.062 -6.291
-1.294 -6.517 -2.203
-7.045 -2.264 -0.288
S Ce Tb Ho
6 1 2 1
Direct
0.131 0.401 0.751 S
0.717 0.131 0.751 S
0.220 0.919 0.249 S
0.919 0.612 0.249 S
0.612 0.220 0.249 S
0.401 0.717 0.751 S
0.811 0.811 0.566 Ce
0.015 0.015 0.954 Tb
0.519 0.519 0.444 Tb
0.316 0.316 0.051 Ho
```

Results
Symmetry   R3, No. 146
Total magnetization   1.009 μB per cell
Formation energy from raw total energies   -2021 meV/atom

---

DFT (GGA-PBE) results for Tb3CeHo2S6 after structural relaxation.

```
Tb3CeHo2S6
1.0
3.918 0.000 0.000
0.000 7.882 0.294
-1.959 -2.259 8.252
Tb S Ce Ho
3 6 1 2
Direct
0.836 0.165 0.671 Tb
0.164 0.835 0.329 Tb
0.500 0.500 0.000 Tb
0.670 0.088 0.340 S
0.669 0.581 0.337 S
0.331 0.419 0.663 S
0.330 0.912 0.660 S
0.001 0.257 0.003 S
0.999 0.743 0.997 S
0.500 0.000 0.000 Ce
0.165 0.329 0.330 Ho
0.835 0.671 0.670 Ho
```

Results
Symmetry   C2/m, No. 12
Total magnetization   0.804 μB per cell
Formation energy from raw total energies   -2006 meV/atom

---

DFT (GGA-PBE) results for Tb4CeHoS8 after structural relaxation.

```
Tb4CeHoS8
1.0
8.134 0.000 0.000
4.067 7.045 0.000
4.067 2.348 6.624
S Tb Ho Ce
8 4 1 1
Direct
0.239 0.239 0.283 S
0.759 0.759 0.255 S
0.759 0.227 0.255 S
0.227 0.759 0.255 S
0.237 0.237 0.741 S
0.757 0.757 0.729 S
0.785 0.237 0.741 S
0.237 0.785 0.741 S
0.625 0.625 0.126 Tb
0.000 0.000 0.500 Tb
0.500 0.000 0.500 Tb
0.000 0.500 0.500 Tb
0.000 0.000 0.000 Ho
0.375 0.375 0.874 Ce
```

Results
Symmetry   R3m, No. 160
Total magnetization   1.690 μB per cell
Formation energy from raw total energies   -1918 meV/atom

---

DFT (GGA-PBE) results for TbCe3Ho3S8 after structural relaxation.

```
TbCe3Ho3S8
1.0
-5.564 5.452 1.051
-0.213 -4.666 -6.322
-1.614 -3.031 7.178
Ce S Ho Tb
3 8 3 1
Direct
0.500 0.500 0.000 Ce
0.000 0.500 0.000 Ce
0.000 0.000 0.000 Ce
0.249 0.497 0.740 S
0.258 0.009 0.260 S
0.751 0.009 0.260 S
0.249 0.991 0.740 S
0.751 0.503 0.260 S
0.742 0.991 0.740 S
0.255 0.509 0.264 S
0.745 0.491 0.736 S
0.000 0.500 0.500 Ho
0.500 0.500 0.500 Ho
0.500 0.000 0.500 Ho
0.000 0.000 0.500 Tb
```

Results
Symmetry   R-3m, No. 166
Total magnetization   3.413 μB per cell
Formation energy from raw total energies   -2045 meV/atom

---

DFT (GGA-PBE) results for Ce2HoTe2S2 after structural relaxation.

```
Ce2HoTe2S2
1.0
-4.144 1.018 -2.740
-1.268 -4.909 0.095
-1.477 3.157 8.101
S Ce Te Ho
2 2 2 1
Direct
0.500 0.000 0.000 S
0.000 0.500 0.000 S
0.384 0.384 0.769 Ce
0.616 0.616 0.231 Ce
0.185 0.185 0.371 Te
0.815 0.815 0.629 Te
0.000 0.000 0.000 Ho
```

Results
Symmetry   I4/mmm, No. 139
Total magnetization   2.749 μB per cell
Formation energy from raw total energies   -1519 meV/atom

---

DFT (GGA-PBE) results for CeHo2Th3S6 after structural relaxation.

```
CeHo2Th3S6
1.0
6.832 0.002 0.001
-3.413 5.919 0.001
-1.139 -1.973 6.639
S Th Ho Ce
6 3 2 1
Direct
0.738 0.738 0.234 S
0.420 0.079 0.238 S
0.921 0.580 0.762 S
0.262 0.262 0.766 S
0.580 0.921 0.762 S
0.079 0.420 0.238 S
0.164 0.836 0.500 Th
0.836 0.164 0.500 Th
0.500 0.500 0.500 Th
0.666 0.334 0.000 Ho
0.334 0.666 0.000 Ho
0.000 0.000 0.000 Ce
```

Results
Symmetry   C2/m, No. 12
Total magnetization   0.022 μB per cell
Formation energy from raw total energies   -1915 meV/atom

---

DFT (GGA-PBE) results for Ce2HoThS4 after structural relaxation.

```
Ce2HoThS4
1.0
-3.593 -1.311 1.134
2.349 -6.543 -0.125
1.005 2.668 6.271
S Ce Th Ho
4 2 1 1
Direct
0.000 0.243 0.753 S
0.500 0.239 0.241 S
0.500 0.761 0.759 S
0.000 0.757 0.247 S
0.000 0.500 0.500 Ce
0.500 0.000 0.500 Ce
0.500 0.500 0.000 Th
0.000 0.000 0.000 Ho
```

Results
Symmetry   P2/m, No. 10
Total magnetization   1.161 μB per cell
Formation energy from raw total energies   -1979 meV/atom

---

DFT (GGA-PBE) results for Ce3Ho2ThS6 after structural relaxation.

```
Ce3Ho2ThS6
1.0
6.897 -0.001 0.000
-3.448 5.974 0.000
-1.150 -1.992 6.504
Th Ho Ce S
1 2 3 6
Direct
0.000 0.000 0.000 Th
0.333 0.667 0.000 Ho
0.667 0.333 0.000 Ho
0.500 0.500 0.500 Ce
0.836 0.164 0.500 Ce
0.164 0.836 0.500 Ce
0.737 0.737 0.239 S
0.081 0.423 0.242 S
0.423 0.081 0.242 S
0.263 0.263 0.761 S
0.577 0.919 0.758 S
0.919 0.577 0.758 S
```

Results
Symmetry   C2/m, No. 12
Total magnetization   2.144 μB per cell
Formation energy from raw total energies   -1990 meV/atom

---

DFT (GGA-PBE) results for Ce2Ho3ThS6 after structural relaxation.

```
Ce2Ho3ThS6
1.0
3.923 0.000 0.000
0.000 7.989 0.155
-1.962 -2.438 8.349
Ce S Ho Th
2 6 3 1
Direct
0.166 0.332 0.332 Ce
0.834 0.668 0.668 Ce
0.336 0.410 0.672 S
0.996 0.260 0.993 S
0.330 0.925 0.659 S
0.004 0.740 0.007 S
0.670 0.075 0.341 S
0.664 0.590 0.328 S
0.500 0.500 0.000 Ho
0.834 0.167 0.667 Ho
0.166 0.833 0.333 Ho
0.500 0.000 0.000 Th
```

Results
Symmetry   C2/m, No. 12
Total magnetization   1.666 μB per cell
Formation energy from raw total energies   -1979 meV/atom

---

DFT (GGA-PBE) results for Ce3HoTh2S6 after structural relaxation.

```
Ce3HoTh2S6
1.0
6.956 0.003 0.002
-3.474 6.026 0.002
-1.160 -2.008 6.502
S Ce Th Ho
6 3 2 1
Direct
0.241 0.241 0.751 S
0.082 0.407 0.246 S
0.759 0.759 0.249 S
0.593 0.918 0.754 S
0.407 0.082 0.246 S
0.918 0.593 0.754 S
0.500 0.500 0.500 Ce
0.169 0.831 0.500 Ce
0.831 0.169 0.500 Ce
0.334 0.666 0.000 Th
0.666 0.334 0.000 Th
0.000 0.000 0.000 Ho
```

Results
Symmetry   C2/m, No. 12
Total magnetization   1.474 μB per cell
Formation energy from raw total energies   -1968 meV/atom

---

DFT (GGA-PBE) results for Ce2HoThS5 after structural relaxation.

```
Ce2HoThS5
1.0
4.867 0.000 0.000
0.000 4.867 0.000
0.000 0.000 10.459
Ce S Th Ho
2 5 1 1
Direct
0.500 0.500 0.696 Ce
0.500 0.500 0.304 Ce
0.000 0.000 0.752 S
0.500 0.000 0.500 S
0.000 0.500 0.500 S
0.500 0.500 0.000 S
0.000 0.000 0.248 S
0.000 0.000 0.000 Th
0.000 0.000 0.500 Ho
```

Results
Symmetry   P4/mmm, No. 123
Total magnetization   4.102 μB per cell
Formation energy from raw total energies   -1401 meV/atom

---

DFT (GGA-PBE) results for Ce2HoTh3S6 after structural relaxation.

```
Ce2HoTh3S6
1.0
-0.831 4.967 4.739
-5.432 -2.256 -3.638
0.915 -5.481 4.223
Ce S Th Ho
2 6 3 1
Direct
0.333 0.667 0.000 Ce
0.667 0.333 0.000 Ce
0.245 0.245 0.756 S
0.594 0.920 0.760 S
0.755 0.755 0.244 S
0.920 0.594 0.760 S
0.080 0.406 0.240 S
0.406 0.080 0.240 S
0.169 0.831 0.500 Th
0.831 0.169 0.500 Th
0.500 0.500 0.500 Th
0.000 0.000 0.000 Ho
```

Results
Symmetry   C2/m, No. 12
Total magnetization   0.433 μB per cell
Formation energy from raw total energies   -1935 meV/atom

---

DFT (GGA-PBE) results for Ce4Ho3ThS8 after structural relaxation.

```
Ce4Ho3ThS8
1.0
-2.173 -2.916 7.056
1.405 -7.388 -2.621
5.703 5.503 -0.434
S Ce Ho Th
8 4 3 1
Direct
0.746 0.737 0.491 S
0.739 0.741 0.990 S
0.251 0.741 0.990 S
0.749 0.259 0.498 S
0.254 0.263 0.509 S
0.261 0.259 0.010 S
0.251 0.741 0.502 S
0.749 0.259 0.010 S
0.000 0.000 0.500 Ce
0.500 0.000 0.000 Ce
0.500 0.000 0.500 Ce
0.000 0.000 0.000 Ce
0.500 0.500 0.500 Ho
0.000 0.500 0.500 Ho
0.500 0.500 0.000 Ho
0.000 0.500 0.000 Th
```

Results
Symmetry   R-3m, No. 166
Total magnetization   2.461 μB per cell
Formation energy from raw total energies   -1999 meV/atom

---

DFT (GGA-PBE) results for Ce3HoTl4S8 after structural relaxation.

```
Ce3HoTl4S8
1.0
-3.062 -3.246 6.996
7.598 1.905 4.209
-3.993 6.211 -3.786
S Tl Ce Ho
8 4 3 1
Direct
0.734 0.703 0.468 S
0.259 0.301 0.030 S
0.741 0.699 0.970 S
0.266 0.297 0.532 S
0.229 0.699 0.458 S
0.229 0.699 0.970 S
0.771 0.301 0.542 S
0.771 0.301 0.030 S
0.000 0.000 0.500 Tl
0.500 0.000 0.500 Tl
0.000 0.000 0.000 Tl
0.500 0.000 0.000 Tl
0.000 0.500 0.500 Ce
0.500 0.500 0.000 Ce
0.500 0.500 0.500 Ce
0.000 0.500 0.000 Ho
```

Results
Symmetry   R-3m, No. 166
Total magnetization   3.022 μB per cell
Formation energy from raw total energies   -1418 meV/atom

---

DFT (GGA-PBE) results for CeHo3Tl4S8 after structural relaxation.

```
CeHo3Tl4S8
1.0
8.124 0.000 0.000
0.000 8.848 0.507
-4.062 -4.060 5.746
S Ho Tl Ce
8 3 4 1
Direct
0.237 0.698 0.474 S
0.763 0.302 0.526 S
0.724 0.698 0.961 S
0.237 0.698 0.961 S
0.763 0.302 0.039 S
0.732 0.695 0.464 S
0.268 0.305 0.536 S
0.276 0.302 0.039 S
0.500 0.500 0.000 Ho
0.000 0.500 0.500 Ho
0.500 0.500 0.500 Ho
0.500 0.000 0.500 Tl
0.000 0.000 0.500 Tl
0.000 0.000 0.000 Tl
0.500 0.000 0.000 Tl
0.000 0.500 0.000 Ce
```

Results
Symmetry   R-3m, No. 166
Total magnetization   1.025 μB per cell
Formation energy from raw total energies   -1462 meV/atom

---

DFT (GGA-PBE) results for CeHo4TlS8 after structural relaxation.

```
CeHo4TlS8
1.0
8.155 0.000 0.000
4.077 7.062 0.000
4.077 2.354 6.864
Ho S Tl Ce
4 8 1 1
Direct
0.004 0.489 0.503 Ho
0.626 0.626 0.122 Ho
0.489 0.004 0.503 Ho
0.004 0.004 0.503 Ho
0.752 0.231 0.265 S
0.232 0.232 0.303 S
0.752 0.752 0.265 S
0.757 0.757 0.728 S
0.239 0.799 0.723 S
0.239 0.239 0.723 S
0.231 0.752 0.265 S
0.799 0.239 0.723 S
0.372 0.372 0.884 Tl
0.004 0.004 0.989 Ce
```

Results
Symmetry   R3m, No. 160
Total magnetization   1.005 μB per cell
Formation energy from raw total energies   -1786 meV/atom

---

DFT (GGA-PBE) results for Ce3HoTl3S8 after structural relaxation.

```
Ce3HoTl3S8
1.0
8.245 0.000 0.000
-4.123 7.141 -0.027
0.000 -4.733 7.508
S Tl Ce Ho
8 3 3 1
Direct
0.228 0.966 0.694 S
0.737 0.966 0.694 S
0.772 0.543 0.306 S
0.772 0.034 0.306 S
0.228 0.457 0.694 S
0.263 0.034 0.306 S
0.266 0.532 0.298 S
0.734 0.468 0.702 S
0.000 0.500 0.000 Tl
0.000 0.000 0.000 Tl
0.500 0.500 0.000 Tl
0.500 0.500 0.500 Ce
0.000 0.500 0.500 Ce
0.500 0.000 0.500 Ce
0.000 0.000 0.500 Ho
```

Results
Symmetry   R-3m, No. 166
Total magnetization   2.017 μB per cell
Formation energy from raw total energies   -1518 meV/atom